1.
DFT (PBE) results for an optimized crystal structure of Pu3ZrIn12.

Properties
N(E_F) = 37.888 states/eV/cell
energy of formation = -21.42 kJ/mol of atoms
mass density = 9.3 g/cm3

Lattice parameters (Å, degrees): 4.615 4.615 18.482 90.00 90.00 90.00
Fractional coordinates of all 16 atoms:
Pu 0.000 0.000 0.000
Pu 0.000 0.000 0.255
Pu 0.000 0.000 0.745
Zr 0.000 0.000 0.500
In 0.000 0.500 0.127
In 0.000 0.500 0.379
In 0.000 0.500 0.621
In 0.000 0.500 0.873
In 0.500 0.000 0.127
In 0.500 0.000 0.379
In 0.500 0.000 0.621
In 0.500 0.000 0.873
In 0.500 0.500 0.000
In 0.500 0.500 0.252
In 0.500 0.500 0.500
In 0.500 0.500 0.748


2.
DFT (PBE) results for an optimized crystal structure of PuZr4In5.

Properties
N(E_F) = 9.974 states/eV/cell
energy of formation = -27.96 kJ/mol of atoms
mass density = 8.6 g/cm3

Lattice parameters (Å, degrees): 3.161 3.161 22.766 90.00 90.00 90.00
Fractional coordinates of all 10 atoms:
Pu 0.000 0.000 0.000
Zr 0.000 0.000 0.208
Zr 0.000 0.000 0.402
Zr 0.000 0.000 0.598
Zr 0.000 0.000 0.792
In 0.500 0.500 0.110
In 0.500 0.500 0.305
In 0.500 0.500 0.500
In 0.500 0.500 0.695
In 0.500 0.500 0.890


3.
DFT (PBE) results for an optimized crystal structure of Pu2ZrIn.

Properties
N(E_F) = 15.477 states/eV/cell
energy of formation = 24.06 kJ/mol of atoms
mass density = 10.7 g/cm3

Lattice parameters (Å, degrees): 11.895 11.895 11.895 15.71 15.71 15.71
Fractional coordinates of all 4 atoms:
Pu 0.092 0.092 0.092
Pu 0.908 0.908 0.908
Zr 0.500 0.500 0.500
In 0.000 0.000 0.000


4.
DFT (PBE) results for an optimized crystal structure of PuZr2In.

Properties
N(E_F) = 6.724 states/eV/cell
energy of formation = -5.47 kJ/mol of atoms
mass density = 9.6 g/cm3

Lattice parameters (Å, degrees): 3.186 3.186 9.180 90.00 90.00 90.00
Fractional coordinates of all 4 atoms:
Pu 0.000 0.000 0.000
Zr 0.500 0.500 0.260
Zr 0.500 0.500 0.740
In 0.000 0.000 0.500